[1]
# Na4Tl5In4

A relaxed Na4Tl5In4 crystal (PBE, Alexandria).

a = 4.8361 Å, b = 8.9967 Å, c = 8.9967 Å
α = 85.86°, β = 74.41°, γ = 74.41°
Element x y z (fractional)
Na: 0.7721 0.3782 0.0776
Na: 0.2279 0.6218 0.9224
Na: 0.8497 0.9224 0.3782
Na: 0.1503 0.0776 0.6218
Tl: 0.6985 0.8402 0.7628
Tl: 0.3015 0.1598 0.2372
Tl: 0.0000 0.0000 0.0000
Tl: 0.5387 0.7628 0.1598
Tl: 0.4613 0.2372 0.8402
In: 0.9250 0.4656 0.6845
In: 0.6095 0.3155 0.4656
In: 0.0750 0.5344 0.3155
In: 0.3905 0.6845 0.5344

Output
VASP energy = -2.249 eV per atom
calculated volume = 363 Å³/cell
calculated formation energy = -0.0902 eV/atom


[2]
# Sr12Sn5H2

A relaxed Sr12Sn5H2 crystal (PBE, Alexandria).

a = 8.5021 Å, b = 9.9193 Å, c = 10.7728 Å
α = 105.54°, β = 90.00°, γ = 115.38°
Element x y z (fractional)
Sr: 0.9924 0.9849 0.2023
Sr: 0.0998 0.6704 0.9124
Sr: 0.5706 0.6704 0.9124
Sr: 0.0962 0.6913 0.4270
Sr: 0.5951 0.6913 0.4270
Sr: 0.5005 0.0010 0.8054
Sr: 0.4995 0.9990 0.1946
Sr: 0.9038 0.3087 0.5730
Sr: 0.4049 0.3087 0.5730
Sr: 0.9002 0.3296 0.0876
Sr: 0.4294 0.3296 0.0876
Sr: 0.0076 0.0151 0.7977
Sn: 0.3135 0.6269 0.6531
Sn: 0.3124 0.6248 0.1587
Sn: 0.0000 0.0000 0.5000
Sn: 0.6876 0.3752 0.8413
Sn: 0.6865 0.3731 0.3469
H: 0.6816 0.0000 0.0000
H: 0.3184 0.0000 0.0000

Output
VASP energy = -2.887 eV per atom
calculated volume = 784 Å³/cell


[3]
# AcHoTm2S4

A relaxed AcHoTm2S4 crystal (PBE, Alexandria).

a = 3.8995 Å, b = 7.0567 Å, c = 6.8224 Å
α = 71.50°, β = 90.00°, γ = 90.00°
Element x y z (fractional)
Ac: 0.5000 0.5000 0.0000
Ho: 0.0000 0.5000 0.5000
Tm: 0.0000 0.0000 0.0000
Tm: 0.5000 0.0000 0.5000
S: 0.0000 0.7762 0.7287
S: 0.0000 0.2238 0.2713
S: 0.5000 0.7661 0.2568
S: 0.5000 0.2339 0.7432

Output
VASP energy = -6.181 eV per atom
ΔE_f (raw) = -1.914 eV per atom
calculated volume = 178 Å³/cell


[4]
# Tm2CdCo2

A relaxed Tm2CdCo2 crystal (PBE, Alexandria).

a = 3.8580 Å, b = 3.8099 Å, c = 7.0529 Å
α = 105.67°, β = 90.00°, γ = 90.00°
Element x y z (fractional)
Tm: 0.5000 0.6393 0.2785
Tm: 0.5000 0.3607 0.7215
Cd: 0.0000 0.0000 0.0000
Co: 0.0000 0.2066 0.4132
Co: 0.0000 0.7934 0.5868

Output
VASP energy = -5.105 eV per atom
calculated volume = 100 Å³/cell
calculated formation energy = -0.2913 eV/atom


[5]
# NaZrTcOs2

A relaxed NaZrTcOs2 crystal (PBE, Alexandria).

a = 4.6794 Å, b = 4.6736 Å, c = 4.6794 Å
α = 90.00°, β = 90.00°, γ = 90.00°
Element x y z (fractional)
Na: 0.0000 0.5000 0.0000
Os: 0.0000 0.0000 0.5000
Os: 0.5000 0.0000 0.0000
Tc: 0.0000 0.0000 0.0000
Zr: 0.5000 0.5000 0.5000

Output
VASP energy = -7.118 eV per atom
calculated volume = 102 Å³/cell
calculated formation energy = 1.4210 eV/atom


[6]
# PmMg2Zn4

A relaxed PmMg2Zn4 crystal (PBE, Alexandria).

a = 4.4151 Å, b = 3.6131 Å, c = 9.3514 Å
α = 101.14°, β = 103.65°, γ = 90.00°
Element x y z (fractional)
Pm: 0.5000 0.0000 0.0000
Mg: 0.8043 0.8043 0.6085
Mg: 0.1957 0.1957 0.3915
Zn: 0.6472 0.6472 0.2944
Zn: 0.3528 0.3528 0.7056
Zn: 0.0727 0.5727 0.1453
Zn: 0.9273 0.4273 0.8547

Output
energy above the lowest structure with this stoichiometry = 0.194 eV/f.u.
VASP energy = -2.064 eV per atom
calculated volume = 142 Å³/cell
calculated formation energy = -0.2013 eV/atom


[7]
# Ca5Ge2I2

A relaxed Ca5Ge2I2 crystal (PBE, Alexandria).

a = 8.5170 Å, b = 8.5432 Å, c = 9.0250 Å
α = 90.00°, β = 61.85°, γ = 90.00°
Element x y z (fractional)
Ca: 0.0000 0.0000 0.0000
Ca: 0.5000 0.5000 0.0000
Ca: 0.4628 0.1424 0.7869
Ca: 0.7503 0.8576 0.7869
Ca: 0.2503 0.6424 0.7869
Ca: 0.9628 0.3576 0.7869
Ca: 0.5372 0.8576 0.2131
Ca: 0.2497 0.1424 0.2131
Ca: 0.7497 0.3576 0.2131
Ca: 0.0372 0.6424 0.2131
Ge: 0.1608 0.3398 0.0000
Ge: 0.8392 0.6602 0.0000
Ge: 0.3392 0.8398 0.0000
Ge: 0.6608 0.1602 0.0000
I: 0.2125 0.0000 0.5750
I: 0.7125 0.5000 0.5750
I: 0.7875 0.0000 0.4250
I: 0.2875 0.5000 0.4250

Output
VASP energy = -3.391 eV per atom
ΔE_f (raw) = -0.908 eV per atom
calculated volume = 579 Å³/cell


[8]
# LaYP2S

A relaxed LaYP2S crystal (PBE, Alexandria).

a = 5.1402 Å, b = 5.1402 Å, c = 5.1477 Å
α = 90.00°, β = 90.00°, γ = 90.00°
Element x y z (fractional)
Y: 0.0000 0.0000 0.0000
P: 0.0000 0.5000 0.0000
P: 0.5000 0.0000 0.0000
S: 0.0000 0.0000 0.5000
La: 0.5000 0.5000 0.5000

Output
energy above the lowest structure with this stoichiometry = 0.000 eV/f.u.
VASP energy = -5.960 eV per atom
ΔE_f (raw) = -0.693 eV per atom
calculated volume = 136 Å³/cell


[9]
# CuAs3S

A relaxed CuAs3S crystal (PBE, Alexandria).

a = 4.6888 Å, b = 4.6888 Å, c = 4.6888 Å
α = 90.00°, β = 90.00°, γ = 90.00°
Element x y z (fractional)
As: 0.0000 0.5000 0.0000
As: 0.0000 0.0000 0.5000
As: 0.5000 0.0000 0.0000
S: 0.5000 0.5000 0.5000
Cu: 0.0000 0.0000 0.0000

Output
energy above the lowest structure with this stoichiometry = 0.000 eV/f.u.
VASP energy = -3.604 eV per atom
ΔE_f (raw) = 0.831 eV per atom
calculated volume = 103 Å³/cell


[10]
# IrPdAu

A relaxed IrPdAu crystal (PBE, Alexandria).

a = 2.8182 Å, b = 2.8182 Å, c = 6.9156 Å
α = 90.00°, β = 90.00°, γ = 120.00°
Element x y z (fractional)
Ir: 0.6667 0.3333 0.3973
Pd: 0.3333 0.6667 0.0825
Au: 0.0000 0.0000 0.7404

Output
energy above the lowest structure with this stoichiometry = 0.035 eV/f.u.
VASP energy = -5.596 eV per atom
calculated volume = 48 Å³/cell
calculated formation energy = 0.1811 eV/atom


[11]
# PrSm2Dy2Y4

A relaxed PrSm2Dy2Y4 crystal (PBE, Alexandria).

a = 3.6274 Å, b = 9.5765 Å, c = 9.6347 Å
α = 115.20°, β = 90.00°, γ = 100.92°
Element x y z (fractional)
Pr: 0.0000 0.0000 0.0000
Sm: 0.8516 0.7033 0.3328
Sm: 0.1484 0.2967 0.6672
Dy: 0.3321 0.6642 0.9986
Dy: 0.6679 0.3358 0.0014
Y: 0.8144 0.6288 0.6656
Y: 0.1856 0.3712 0.3344
Y: 0.5192 0.0384 0.3349
Y: 0.4808 0.9616 0.6651

Output
VASP energy = -5.474 eV per atom
calculated volume = 296 Å³/cell
calculated formation energy = 0.0013 eV/atom


[12]
# BaLiNb3

A relaxed BaLiNb3 crystal (PBE, Alexandria).

a = 4.8141 Å, b = 4.8141 Å, c = 4.8141 Å
α = 90.00°, β = 90.00°, γ = 90.00°
Element x y z (fractional)
Nb: 0.0000 0.5000 0.0000
Nb: 0.0000 0.0000 0.5000
Nb: 0.5000 0.0000 0.0000
Ba: 0.5000 0.5000 0.5000
Li: 0.0000 0.0000 0.0000

Output
energy above the lowest structure with this stoichiometry = 0.000 eV/f.u.
VASP energy = -5.344 eV per atom
calculated volume = 112 Å³/cell
calculated formation energy = 1.4652 eV/atom


What did the second record say?
# Sr12Sn5H2

A relaxed Sr12Sn5H2 crystal (PBE, Alexandria).

a = 8.5021 Å, b = 9.9193 Å, c = 10.7728 Å
α = 105.54°, β = 90.00°, γ = 115.38°
Element x y z (fractional)
Sr: 0.9924 0.9849 0.2023
Sr: 0.0998 0.6704 0.9124
Sr: 0.5706 0.6704 0.9124
Sr: 0.0962 0.6913 0.4270
Sr: 0.5951 0.6913 0.4270
Sr: 0.5005 0.0010 0.8054
Sr: 0.4995 0.9990 0.1946
Sr: 0.9038 0.3087 0.5730
Sr: 0.4049 0.3087 0.5730
Sr: 0.9002 0.3296 0.0876
Sr: 0.4294 0.3296 0.0876
Sr: 0.0076 0.0151 0.7977
Sn: 0.3135 0.6269 0.6531
Sn: 0.3124 0.6248 0.1587
Sn: 0.0000 0.0000 0.5000
Sn: 0.6876 0.3752 0.8413
Sn: 0.6865 0.3731 0.3469
H: 0.6816 0.0000 0.0000
H: 0.3184 0.0000 0.0000

Output
VASP energy = -2.887 eV per atom
calculated volume = 784 Å³/cell